Model i:
A relaxed GdTmSi crystal, computed with PBE-GGA.

```
GdTmSi
1.0
4.821 0.000 0.000
2.411 4.175 0.000
2.411 1.392 3.936
Gd Tm Si
1 1 1
Direct
0.000 0.000 0.000
0.500 0.500 0.500
0.250 0.250 0.250
```

Density (Mg/m³): 7.42
Crystal system: cubic

***

Model ii:
A relaxed GdTmSi crystal, computed with PBE-GGA.

```
GdTmSi
1.0
-0.461 -0.477 -3.700
1.375 -3.487 0.278
-5.210 0.174 2.537
Si Tm Gd
1 1 1
Direct
0.277 0.277 0.553
0.641 0.641 0.282
0.932 0.932 0.865
```

Density (Mg/m³): 8.08
Crystal system: tetragonal

***

Which structure is the most stable? The one labeled model i.

***

Model i:
A relaxed Sm3Gd crystal, computed with PBE-GGA.

```
Sm3Gd
1.0
7.330 0.000 0.000
-3.665 6.348 0.000
0.000 0.000 5.824
Gd Sm
2 6
Direct
0.333 0.667 0.750
0.667 0.333 0.250
0.333 0.167 0.750
0.667 0.833 0.250
0.833 0.667 0.750
0.167 0.333 0.250
0.833 0.167 0.750
0.167 0.833 0.250
```

Density (Mg/m³): 7.46
Crystal system: hexagonal

***

Model ii:
A relaxed Sm3Gd crystal, computed with PBE-GGA.

```
Sm3Gd
1.0
-4.733 0.415 3.253
-2.550 -4.762 1.994
0.244 -1.261 5.612
Sm Gd
3 1
Direct
0.250 0.250 0.250
0.750 0.750 0.750
0.000 0.000 0.000
0.500 0.500 0.500
```

Density (Mg/m³): 7.48
Crystal system: cubic

***

Model iii:
A relaxed Sm3Gd crystal, computed with PBE-GGA.

```
Sm3Gd
1.0
-1.540 -1.528 -4.631
4.533 -2.238 -0.769
-1.797 -4.337 2.028
Sm Gd
3 1
Direct
0.500 0.500 0.000
0.000 0.500 0.500
0.500 0.000 0.500
0.000 0.000 0.000
```

Density (Mg/m³): 7.55
Crystal system: cubic

***

Which structure is the most stable? The one labeled model iii.

***

Model i:
A relaxed Sm3Gd crystal, computed with PBE-GGA.

```
Sm3Gd
1.0
-2.108 -4.657 0.299
4.410 -1.881 1.798
-2.675 4.265 3.732
Sm Gd
3 1
Direct
0.750 0.250 0.500
0.500 0.500 0.000
0.250 0.750 0.500
0.000 0.000 0.000
```

Density (Mg/m³): 7.53
Crystal system: tetragonal

***

Model ii:
A relaxed Sm3Gd crystal, computed with PBE-GGA.

```
Sm3Gd
1.0
-3.544 -0.503 0.783
1.058 -5.610 1.184
1.129 1.493 6.066
Sm Gd
3 1
Direct
0.000 0.000 0.000
0.500 0.000 0.500
0.500 0.500 0.833
0.000 0.500 0.334
```

Density (Mg/m³): 7.45
Crystal system: orthorhombic

***

Which structure is the most stable? The one labeled model i.

***

Model i:
A relaxed SmGdSn2 crystal, computed with PBE-GGA.

```
SmGdSn2
1.0
4.031 0.000 0.000
2.016 3.491 0.000
2.016 1.164 8.687
Sm Sn Gd
1 2 1
Direct
0.000 0.000 0.000
0.249 0.249 0.252
0.751 0.751 0.748
0.500 0.500 0.500
```

Density (Mg/m³): 7.40
Crystal system: trigonal

***

Model ii:
A relaxed SmGdSn2 crystal, computed with PBE-GGA.

```
SmGdSn2
1.0
-1.196 -0.466 5.270
3.924 -1.076 3.587
1.605 3.826 3.494
Sn Sm Gd
2 1 1
Direct
0.250 0.250 0.250
0.750 0.750 0.750
0.000 0.000 0.000
0.500 0.500 0.500
```

Density (Mg/m³): 8.02
Crystal system: cubic

***

Model iii:
A relaxed SmGdSn2 crystal, computed with PBE-GGA.

```
SmGdSn2
1.0
-1.891 -0.324 2.912
0.752 -3.403 0.110
7.314 1.777 4.947
Sm Gd Sn
1 1 2
Direct
0.500 0.500 0.500
0.500 0.500 0.000
0.000 0.000 0.249
0.000 0.000 0.751
```

Density (Mg/m³): 8.26
Crystal system: tetragonal

***

Model iv:
A relaxed SmGdSn2 crystal, computed with PBE-GGA.

```
SmGdSn2
1.0
-1.638 -2.208 3.562
2.404 -4.070 -1.417
3.917 1.387 2.662
Sn Sm Gd
2 1 1
Direct
0.000 0.500 0.000
0.000 0.000 0.500
0.500 0.000 0.000
0.500 0.500 0.500
```

Density (Mg/m³): 8.26
Crystal system: tetragonal

***

Which structure is the most stable? The one labeled model iii.